[1]
# La2ReRu

Crystalline La2ReRu at its relaxed geometry (PBE, Alexandria).

Cell: 7.7217 7.7217 6.2585 Å, 51.91 51.91 90.00°
Fractional coordinates of all 8 atoms:
Re1 0.0000 0.0000 0.0000
Re2 0.7500 0.2500 0.5000
Ru1 0.5000 0.5000 0.0000
Ru2 0.2500 0.7500 0.5000
La1 0.6104 0.1250 0.2500
La2 0.1396 0.6250 0.2500
La3 0.3750 0.3896 0.7500
La4 0.8750 0.8604 0.7500

Values from the calculation:
- relative energy among the computed polymorphs (eV per formula unit) = 2.48
- calculated formation energy (eV/atom) = 0.635
- E (eV/f.u.) = -29.04
- symmetry = I-42d

---

[2]
# AlTl5

Crystalline AlTl5 at its relaxed geometry (PBE, Alexandria).

Cell: 8.3807 8.3807 5.8783 Å, 90.00 90.00 154.55°
Fractional coordinates of all 6 atoms:
Al1 0.9734 0.0266 0.0000
Tl1 0.3197 0.6803 0.0000
Tl2 0.6270 0.3730 0.0000
Tl3 0.4713 0.5287 0.5000
Tl4 0.8052 0.1948 0.5000
Tl5 0.1369 0.8631 0.5000

Values from the calculation:
- relative energy among the computed polymorphs (eV per formula unit) = 0.22
- calculated formation energy (eV/atom) = 0.146
- E (eV/f.u.) = -14.70
- symmetry = Amm2